## CaBe2CrP (PBE)

Data for a relaxed CaBe2CrP crystal.

abc: 4.297 4.292 4.297
angles: 90.00 90.00 90.00
Fractional coordinates of all 5 atoms:
P: 0.000 0.500 0.000
Cr: 0.000 0.000 0.000
Be: 0.500 0.000 0.000
Be: 0.000 0.000 0.500
Ca: 0.500 0.500 0.500

- SG = P4/mmm
- DFT formation energy (eV/atom) = 0.0223
- magnetization (μB per atom) = 0.00
- energy (eV per atom) = -4.875


## CaBe2CrPd (PBE)

Data for a relaxed CaBe2CrPd crystal.

abc: 4.333 5.084 4.333
angles: 90.00 90.00 90.00
Site moments in Bohr magnetons follow the coordinates.
Fractional coordinates of all 5 atoms:
Cr: 0.500 0.500 0.500  -0.26
Be: 0.500 0.000 0.000  0.00
Be: 0.000 0.000 0.500  0.00
Ca: 0.000 0.500 0.000  0.04
Pd: 0.000 0.000 0.000  0.02

- SG = P4/mmm
- DFT formation energy (eV/atom) = 1.0091
- magnetization (μB per atom) = 0.03
- energy (eV per atom) = -3.845


## CaTaBe2Cr (PBE)

Data for a relaxed CaTaBe2Cr crystal.

abc: 4.331 4.730 4.331
angles: 90.00 90.00 90.00
Site moments in Bohr magnetons follow the coordinates.
Fractional coordinates of all 5 atoms:
Ca: 0.000 0.000 0.000  0.07
Be: 0.500 0.000 0.000  0.04
Be: 0.000 0.000 0.500  0.03
Ta: 0.000 0.500 0.000  0.11
Cr: 0.500 0.500 0.500  -0.19

- SG = P4/mmm
- DFT formation energy (eV/atom) = 2.6873
- magnetization (μB per atom) = 0.04
- energy (eV per atom) = -3.499


## Ca2BeCrTc (PBE)

Data for a relaxed Ca2BeCrTc crystal.

abc: 5.575 4.294 5.575
angles: 90.00 90.00 90.00
Site moments in Bohr magnetons follow the coordinates.
Fractional coordinates of all 5 atoms:
Ca: 0.000 0.000 0.500  0.04
Ca: 0.500 0.000 0.000  0.03
Cr: 0.000 0.000 0.000  2.02
Tc: 0.000 0.500 0.000  -0.81
Be: 0.500 0.500 0.500  0.00

- SG = P4/mmm
- DFT formation energy (eV/atom) = 1.1258
- magnetization (μB per atom) = 0.27
- energy (eV per atom) = -4.418


## CaTiBe2Cr (PBE)

Data for a relaxed CaTiBe2Cr crystal.

abc: 4.736 4.145 4.736
angles: 90.00 90.00 90.00
Fractional coordinates of all 5 atoms:
Ca: 0.500 0.500 0.500
Cr: 0.000 0.500 0.000
Be: 0.500 0.000 0.000
Be: 0.000 0.000 0.500
Ti: 0.000 0.000 0.000

- SG = P4/mmm
- DFT formation energy (eV/atom) = 0.9486
- magnetization (μB per atom) = 0.00
- energy (eV per atom) = -4.446


## CsCaBe2 (PBE)

Data for a relaxed CsCaBe2 crystal.

abc: 5.507 5.507 5.507
angles: 60.00 60.00 60.00
Fractional coordinates of all 4 atoms:
Ca: 0.000 0.000 0.000
Cs: 0.500 0.500 0.500
Be: 0.750 0.750 0.750
Be: 0.250 0.250 0.250

- SG = Fm-3m
- DFT formation energy (eV/atom) = 1.0976
- magnetization (μB per atom) = 0.00
- energy (eV per atom) = -1.479